# 1
# CoCuPt SCAN PBEsol geometry
data_CoCuPt
_cell_length_a 2.6514
_cell_length_b 3.6172
_cell_length_c 7.7623
_cell_angle_alpha 90.00
_cell_angle_beta 90.00
_cell_angle_gamma 90.00
_space_group_name_H-M_alt 'I m m 2'
_space_group_IT_number 44
loop_
_space_group_symop_operation_xyz
'x,y,z'
'-x,-y,z'
'-x,y,z'
'x,-y,z'
'x+1/2,y+1/2,z+1/2'
'-x+1/2,-y+1/2,z+1/2'
'-x+1/2,y+1/2,z+1/2'
'x+1/2,-y+1/2,z+1/2'
loop_
_atom_site_label
_atom_site_type_symbol
_atom_site_fract_x
_atom_site_fract_y
_atom_site_fract_z
Co1 Co 0.0000 0.0000 0.0000
Cu1 Cu 0.0000 0.0000 0.6628
Pt1 Pt 0.0000 0.0000 0.3339
# DFT formation energy: -79 meV/atom



# 2
# Mg2AlRh SCAN PBEsol geometry
data_Mg2AlRh
_cell_length_a 3.1023
_cell_length_b 3.1023
_cell_length_c 7.1075
_cell_angle_alpha 90.00
_cell_angle_beta 90.00
_cell_angle_gamma 90.00
_space_group_name_H-M_alt 'P 4 m m'
_space_group_IT_number 99
loop_
_space_group_symop_operation_xyz
'x,y,z'
'-y,x,z'
'-x,-y,z'
'y,-x,z'
'-x,y,z'
'y,x,z'
'x,-y,z'
'-y,-x,z'
loop_
_atom_site_label
_atom_site_type_symbol
_atom_site_fract_x
_atom_site_fract_y
_atom_site_fract_z
Mg1 Mg 0.0000 0.0000 0.0000
Mg2 Mg 0.5000 0.5000 0.3195
Al1 Al 0.5000 0.5000 0.7250
Rh1 Rh 0.0000 0.0000 0.5560
# DFT formation energy: -562 meV/atom



# 3
# TaCr3F SCAN PBEsol geometry
data_TaCr3F
_cell_length_a 3.9253
_cell_length_b 3.9253
_cell_length_c 3.9253
_cell_angle_alpha 90.00
_cell_angle_beta 90.00
_cell_angle_gamma 90.00
_space_group_name_H-M_alt 'P m -3 m'
_space_group_IT_number 221
_space_group_name_Hall '-P 4 2 3'
loop_
_atom_site_label
_atom_site_type_symbol
_atom_site_fract_x
_atom_site_fract_y
_atom_site_fract_z
Ta1 Ta 0.0000 0.0000 0.0000
Cr1 Cr 0.0000 0.5000 0.5000
F1 F 0.5000 0.5000 0.5000
# energy above the most stable polymorph in this dataset: 0.0 meV per atom
# energy relative to the elements, uncorrected: 243 meV per atom



# 4
# Cu2SiOs SCAN PBEsol geometry
data_Cu2SiOs
_cell_length_a 5.7949
_cell_length_b 5.7949
_cell_length_c 5.7949
_cell_angle_alpha 90.00
_cell_angle_beta 90.00
_cell_angle_gamma 90.00
_space_group_name_H-M_alt 'F -4 3 m'
_space_group_IT_number 216
_space_group_name_Hall 'F -4 2 3'
loop_
_atom_site_label
_atom_site_type_symbol
_atom_site_fract_x
_atom_site_fract_y
_atom_site_fract_z
Cu1 Cu 0.0000 0.0000 0.0000
Cu2 Cu 0.2500 0.2500 0.2500
Si1 Si 0.2500 0.2500 0.7500
Os1 Os 0.0000 0.0000 0.5000
# energy relative to the elements, uncorrected: -7 meV per atom



Per-record mass density, Mg/m³: 14.17 4.33 9.77 11.79